Record 1
A plane-wave DFT calculation with PBE was carried out for a geometry-optimized La4Dy7Tm structure.

Unit cell a=5.9462 b=11.9487 c=6.7253 alpha=85.50 beta=63.76 gamma=75.59
Sites, in units of the cell vectors:
Dy (0.9661, 0.3699, 0.6978)
Dy (0.5000, 0.0000, 0.0000)
Dy (0.0339, 0.6301, 0.3022)
Dy (0.2060, 0.0831, 0.5050)
Dy (0.6454, 0.4876, 0.2215)
Dy (0.7940, 0.9169, 0.4950)
Dy (0.3546, 0.5124, 0.7785)
La (0.6423, 0.2243, 0.4912)
La (0.6961, 0.7120, 0.8958)
La (0.3577, 0.7757, 0.5088)
La (0.3039, 0.2880, 0.1042)
Tm (0.0000, 0.0000, 0.0000)

Properties
Total DFT energy (no corrections) ... -53.1 eV per cell
Space-group type ... C2/m (12)
Volume ... 414.85 Å³ per cell
ΔE_f ... 273 meV/atom

---

Record 2
A plane-wave DFT calculation with PBE was carried out for a geometry-optimized Tm4PtRh3 structure.

Unit cell a=4.7687 b=6.8854 c=9.5374 alpha=90.00 beta=90.00 gamma=90.00
Sites, in units of the cell vectors:
Tm (0.0001, 0.7512, 0.2500)
Tm (0.5000, 0.7512, 0.0000)
Tm (0.0001, 0.2488, 0.2500)
Tm (0.5000, 0.2488, 0.5000)
Tm (0.9999, 0.2488, 0.7500)
Tm (0.5000, 0.7512, 0.5000)
Tm (0.5000, 0.2488, 0.0000)
Tm (0.9999, 0.7512, 0.7500)
Rh (0.0000, 0.0000, 0.0000)
Rh (0.0000, 0.0000, 0.5000)
Rh (0.4999, 0.5000, 0.7500)
Rh (0.4999, 0.0000, 0.2500)
Rh (0.5001, 0.5000, 0.2500)
Rh (0.5001, 0.0000, 0.7500)
Pt (0.0000, 0.5000, 0.5000)
Pt (0.0000, 0.5000, 0.0000)

Properties
Total DFT energy (no corrections) ... -108.7 eV per cell
Space-group type ... P4/mmm (123)
Volume ... 313.15 Å³ per cell
ΔE_f ... -1048 meV/atom

---

Record 3
A plane-wave DFT calculation with PBE was carried out for a geometry-optimized Mg2In structure.

Unit cell a=3.2986 b=4.4443 c=5.5115 alpha=115.01 beta=107.02 gamma=89.94
Sites, in units of the cell vectors:
Mg (0.3335, 0.3345, 0.1688)
Mg (0.6665, 0.6655, 0.8312)
In (0.0000, 0.0000, 0.5000)

Properties
Total DFT energy (no corrections) ... -6.2 eV per cell
Space-group type ... P-1 (2)
Volume ... 69.31 Å³ per cell
ΔE_f ... -83 meV/atom

---

Record 4
A plane-wave DFT calculation with PBE was carried out for a geometry-optimized NaHoCu2F8 structure.

Unit cell a=5.4533 b=5.4533 c=6.5127 alpha=114.75 beta=114.75 gamma=90.00
Sites, in units of the cell vectors:
F (0.0202, 0.9777, 0.6151)
F (0.0223, 0.4051, 0.3849)
F (0.7294, 0.2947, 0.8654)
F (0.1360, 0.5707, 0.8654)
F (0.3626, 0.9798, 0.3849)
F (0.7053, 0.8640, 0.1346)
F (0.4293, 0.2706, 0.1346)
F (0.5949, 0.6374, 0.6151)
Cu (0.5000, 0.5000, 0.0000)
Cu (0.2500, 0.7500, 0.5000)
Ho (0.7500, 0.2500, 0.5000)
Na (0.0000, 0.0000, 0.0000)

Properties
Uncorrected formation energy ... -2.566 eV per atom
Total DFT energy (no corrections) ... -59.9 eV per cell
Space-group type ... I-4 (82)
Volume ... 156.08 Å³ per cell